First-principles (PBE with a Hubbard U) data for crystalline LiPaCo2O8 at its relaxed geometry, as listed in Alexandria.

Calculated values
As for the volume: 9.1 Å³/atom. As for the symmetry: P-31m, No. 162. The spin magnetization comes out at 0.3382 μB per atom. The calculated total energy is -6.278 eV per atom.

a = 4.567 Å, b = 4.567 Å, c = 6.067 Å
α = 90.00°, β = 90.00°, γ = 120.00°
Sites, in units of the cell vectors:
Li  0.000  0.000  0.000
Pa  0.000  0.000  0.500
Co  0.333  0.667  0.000
Co  0.667  0.333  0.000
O  0.000  0.337  0.179
O  0.000  0.663  0.821
O  0.333  0.667  0.500
O  0.337  0.000  0.179
O  0.337  0.337  0.821
O  0.663  0.000  0.821
O  0.663  0.663  0.179
O  0.667  0.333  0.500